Here is a relaxed Ca2CuPt crystal from the Alexandria database. Energies are from GGA-PBE.

Calculated values
- Calculated total energy: -3.852 eV/atom
- Density: 5.45 Mg/m³
- V: 25.81 A^3/atom

```
Ca2CuPt
1.0
7.250 0.000 0.000
0.000 4.136 0.000
-2.364 0.000 6.887
Ca Cu Pt
4 2 2
direct
0.244 0.000 0.232 Ca
0.256 0.500 0.768 Ca
0.744 0.500 0.232 Ca
0.756 0.000 0.768 Ca
0.000 0.000 0.500 Cu
0.500 0.500 0.500 Cu
0.000 0.500 0.000 Pt
0.500 0.000 0.000 Pt
```